First-principles (GGA-PBE) data for a relaxed GdScMnGa crystal, as listed in Alexandria.

Summary:
Spin magnetization in μB/cell: 40.55
Formation enthalpy at 0 K in eV/f.u.: -0.648

CIF file:
```
data_GdScMnGa
_chemical_formula_sum 'Gd4 Sc4 Mn4 Ga4'
_symmetry_space_group_name_H-M 'F -4 3 m'
_symmetry_Int_Tables_number 216
_symmetry_space_group_name_Hall 'F -4 2 3'
_cell_length_a 6.9368
_cell_length_b 6.9368
_cell_length_c 6.9368
_cell_angle_alpha 90.00
_cell_angle_beta 90.00
_cell_angle_gamma 90.00
loop_
_atom_site_label
_atom_site_type_symbol
_atom_site_fract_x
_atom_site_fract_y
_atom_site_fract_z
Gd1 Gd 0.0000 0.0000 0.0000
Sc1 Sc 0.0000 0.0000 0.5000
Mn1 Mn 0.2500 0.2500 0.7500
Ga1 Ga 0.2500 0.2500 0.2500
```

---

First-principles (GGA-PBE) data for a relaxed TaIn2Os crystal, as listed in Alexandria.

Summary:
Spin magnetization in μB/cell: 0.00
Formation enthalpy at 0 K in eV/f.u.: 1.734

CIF file:
```
data_TaIn2Os
_chemical_formula_sum 'Ta4 In8 Os4'
_symmetry_space_group_name_H-M 'F -4 3 m'
_symmetry_Int_Tables_number 216
_symmetry_space_group_name_Hall 'F -4 2 3'
_cell_length_a 6.6751
_cell_length_b 6.6751
_cell_length_c 6.6751
_cell_angle_alpha 90.00
_cell_angle_beta 90.00
_cell_angle_gamma 90.00
loop_
_atom_site_label
_atom_site_type_symbol
_atom_site_fract_x
_atom_site_fract_y
_atom_site_fract_z
Ta1 Ta 0.0000 0.0000 0.0000
In1 In 0.0000 0.0000 0.5000
In2 In 0.2500 0.2500 0.7500
Os1 Os 0.2500 0.2500 0.2500
```

---

First-principles (GGA-PBE) data for a relaxed CoW crystal, as listed in Alexandria.

Summary:
Spin magnetization in μB/cell: 1.63
Formation enthalpy at 0 K in eV/f.u.: 0.600

CIF file:
```
data_CoW
_chemical_formula_sum 'Co2 W2'
_symmetry_space_group_name_H-M 'P -3 m 1'
_symmetry_Int_Tables_number 164
_symmetry_space_group_name_Hall '-P 3 2"'
_cell_length_a 2.7276
_cell_length_b 2.7276
_cell_length_c 8.5570
_cell_angle_alpha 90.00
_cell_angle_beta 90.00
_cell_angle_gamma 120.00
loop_
_atom_site_label
_atom_site_type_symbol
_atom_site_fract_x
_atom_site_fract_y
_atom_site_fract_z
Co1 Co 0.3333 0.6667 0.3868
W1 W 0.3333 0.6667 0.8536
```

---

First-principles (GGA-PBE) data for a relaxed SmPu2CrC4 crystal, as listed in Alexandria.

Summary:
Spin magnetization in μB/cell: 35.92
Formation enthalpy at 0 K in eV/f.u.: 0.253

CIF file:
```
data_SmPu2CrC4
_chemical_formula_sum 'Sm4 Pu8 Cr4 C16'
_symmetry_space_group_name_H-M 'C m c m'
_symmetry_Int_Tables_number 63
_symmetry_space_group_name_Hall '-C 2c 2'
_cell_length_a 3.5267
_cell_length_b 11.4258
_cell_length_c 11.9587
_cell_angle_alpha 90.00
_cell_angle_beta 90.00
_cell_angle_gamma 90.00
loop_
_atom_site_label
_atom_site_type_symbol
_atom_site_fract_x
_atom_site_fract_y
_atom_site_fract_z
Sm1 Sm 0.0000 0.1067 0.2500
Pu1 Pu 0.0000 0.3698 0.0444
Cr1 Cr 0.0000 0.1637 0.7500
C1 C 0.0000 0.0000 0.0000
C2 C 0.0000 0.2611 0.6288
C3 C 0.0000 0.4153 0.2500
```